1.
Ir3AuSe5 after structural relaxation. Source: OQMD, functional GGA-PBE.

```
9
Lattice="5.7440 0.0000 0.0000 -2.8720 4.9745 0.0000 0.0000 0.0000 6.8725" Properties=species:S:1:pos:R:3 pbc="T T T"
Ir -1.4360 2.4872 0.0000
Ir 2.8720 0.0000 0.0000
Ir 1.4360 2.4872 0.0000
Au 0.0000 0.0000 3.4362
Se 0.0000 0.0000 0.0000
Se 0.0000 3.3163 1.8497
Se 0.0000 3.3163 5.0228
Se 2.8720 1.6581 1.8497
Se 2.8720 1.6581 5.0228
```

Summary:
As for the calculated volume: 196.4 Å³ per cell. For the calculated total energy, the calculation gives -5.01 eV/atom.

---

2.
TlTeIrAuSe2 after structural relaxation. Source: OQMD, functional GGA-PBE.

```
12
Lattice="1.8767 -7.6507 0.0000 1.8767 7.6507 0.0000 0.0000 0.0000 10.5925" Properties=species:S:1:pos:R:3 pbc="T T T"
Tl 1.8767 4.3199 7.9444
Tl 1.8767 -4.3199 2.6481
Te 1.8767 0.5921 2.6481
Te 1.8767 -0.5921 7.9444
Ir 1.8767 0.0000 0.0000
Ir 1.8767 0.0000 5.2963
Au 1.8767 5.6622 2.6481
Au 1.8767 -5.6622 7.9444
Se 1.8767 5.9687 0.1625
Se 1.8767 5.9687 5.1337
Se 1.8767 -5.9687 5.4588
Se 1.8767 -5.9687 10.4300
```

Summary:
As for the calculated volume: 304.2 Å³ per cell. For the calculated total energy, the calculation gives -4.27 eV/atom.

---

3.
Si2IrAu2 after structural relaxation. Source: OQMD, functional GGA-PBE.

```
5
Lattice="-1.8868 1.8868 5.8382 1.8868 -1.8868 5.8382 1.8868 1.8868 -5.8382" Properties=species:S:1:pos:R:3 pbc="T T T"
Si 1.8868 0.0000 2.9191
Si 0.0000 1.8868 2.9191
Ir 0.0000 0.0000 0.0000
Au 0.0000 0.0000 4.5281
Au 0.0000 0.0000 7.1482
```

Summary:
As for the calculated volume: 83.1 Å³ per cell. For the calculated total energy, the calculation gives -4.68 eV/atom.

---

4.
Si5Ir3Au after structural relaxation. Source: OQMD, functional GGA-PBE.

```
9
Lattice="5.3879 0.0000 0.0000 -2.6940 4.6661 0.0000 0.0000 0.0000 6.0482" Properties=species:S:1:pos:R:3 pbc="T T T"
Si 0.0000 0.0000 0.0000
Si 0.0000 3.1107 1.8737
Si 0.0000 3.1107 4.1745
Si 2.6940 1.5554 1.8737
Si 2.6940 1.5554 4.1745
Ir -1.3470 2.3330 0.0000
Ir 2.6940 0.0000 0.0000
Ir 1.3470 2.3330 0.0000
Au 0.0000 0.0000 3.0241
```

Summary:
As for the calculated volume: 152.1 Å³ per cell. For the calculated total energy, the calculation gives -6.38 eV/atom.

---

5.
SmSi2IrAu after structural relaxation. Source: OQMD, functional GGA-PBE.

```
5
Lattice="-2.1024 2.1024 5.0709 2.1024 -2.1024 5.0709 2.1024 2.1024 -5.0709" Properties=species:S:1:pos:R:3 pbc="T T T"
Sm 0.0000 0.0000 0.0000
Si 0.0000 0.0000 3.8880
Si 0.0000 0.0000 6.2538
Ir 0.0000 2.1024 2.5354
Au 2.1024 0.0000 2.5354
```

Summary:
As for the calculated volume: 89.7 Å³ per cell. For the calculated total energy, the calculation gives -6.24 eV/atom.

---

6.
YSi2IrAu after structural relaxation. Source: OQMD, functional GGA-PBE.

```
5
Lattice="-2.0846 2.0846 5.0546 2.0846 -2.0846 5.0546 2.0846 2.0846 -5.0546" Properties=species:S:1:pos:R:3 pbc="T T T"
Y 0.0000 0.0000 0.0000
Si 0.0000 0.0000 3.8936
Si 0.0000 0.0000 6.2156
Ir 0.0000 2.0846 2.5273
Au 2.0846 0.0000 2.5273
```

Summary:
As for the calculated volume: 87.9 Å³ per cell. For the calculated total energy, the calculation gives -6.58 eV/atom.

---

7.
Sm2IrAu after structural relaxation. Source: OQMD, functional GGA-PBE.

```
4
Lattice="4.5361 0.0000 0.0000 0.0000 1.9574 5.3824 0.0000 -1.9574 5.3824" Properties=species:S:1:pos:R:3 pbc="T T T"
Sm 0.0000 0.0000 0.0000
Sm 2.2681 0.0000 3.0081
Ir 0.0000 0.0000 7.8750
Au 2.2681 0.0000 6.0142
```

Summary:
As for the calculated volume: 95.6 Å³ per cell. For the calculated total energy, the calculation gives -6.15 eV/atom. For the energy relative to the elements, the calculation gives -0.767 eV/atom.

---

8.
Sn2IrAu after structural relaxation. Source: OQMD, functional GGA-PBE.

```
4
Lattice="0.0000 3.4322 3.4322 3.4322 0.0000 3.4322 3.4322 3.4322 0.0000" Properties=species:S:1:pos:R:3 pbc="T T T"
Sn 0.0000 0.0000 0.0000
Sn 1.7161 1.7161 1.7161
Ir 3.4322 3.4322 3.4322
Au 5.1483 5.1483 5.1483
```

Summary:
As for the calculated volume: 80.9 Å³ per cell. For the calculated total energy, the calculation gives -4.70 eV/atom. Its excess energy over the best structure of this formula in the dataset is 53.6 kJ/mol of atoms.